No. 1
! GGA-PBE YTiB3, relaxed; values from VASP
&SYSTEM
  ibrav = 0, nat = 5, ntyp = 3
/
ATOMIC_SPECIES
B 10.81 B.upf
Y 88.91 Y.upf
Ti 47.87 Ti.upf
CELL_PARAMETERS angstrom
-2.6351 -2.4083 2.4739
-1.2666 -2.2209 -3.5110
3.2118 -2.8517 0.6451
ATOMIC_POSITIONS crystal
B 0.5000 0.0000 0.0000
B 0.0000 0.5000 0.0000
B 0.0000 0.0000 0.5000
Y 0.0000 0.0000 0.0000
Ti 0.5000 0.5000 0.5000
! - offset from the most stable computed form (eV/atom) = 1.561
! - ρ (Mg/m³) = 3.43
! - calculated total energy (eV per atom) = -4.918
! - E_form (kJ/mol of formula units) = 946
! - symmetry = Pm-3m
! - size of the total moment (μB per formula unit) = 0.00
! - D(E_F) (states/eV/cell) = 1.320



No. 2
! GGA-PBE Tm2BeZn12Cu3, relaxed; values from VASP
&SYSTEM
  ibrav = 0, nat = 18, ntyp = 4
/
ATOMIC_SPECIES
Zn 65.41 Zn.upf
Cu 63.55 Cu.upf
Tm 168.93 Tm.upf
Be 9.01 Be.upf
CELL_PARAMETERS angstrom
-6.8954 -1.4842 9.0618
-2.3980 -4.7199 10.1900
-2.2189 0.8338 11.2359
ATOMIC_POSITIONS crystal
Zn 0.8607 0.4017 0.4017
Zn 0.5983 0.1393 0.5983
Zn 0.5983 0.5983 0.1393
Zn 0.4017 0.8607 0.4017
Zn 0.8864 0.8864 0.3857
Zn 0.8864 0.3857 0.8864
Zn 0.6143 0.1136 0.1136
Zn 0.1136 0.1136 0.6143
Zn 0.3857 0.8864 0.8864
Zn 0.1136 0.6143 0.1136
Zn 0.4017 0.4017 0.8607
Zn 0.1393 0.5983 0.5983
Cu 0.0000 0.5000 0.0000
Cu 0.5000 0.0000 0.0000
Cu 0.0000 0.0000 0.5000
Tm 0.3593 0.3593 0.3593
Tm 0.6407 0.6407 0.6407
Be 0.0000 0.0000 0.0000
! - ρ (Mg/m³) = 7.20
! - calculated total energy (eV per atom) = -2.218
! - E_form (kJ/mol of formula units) = 31
! - symmetry = R-3m
! - size of the total moment (μB per formula unit) = 0.00
! - D(E_F) (states/eV/cell) = 10.383



No. 3
! GGA-PBE CoMoPt2, relaxed; values from VASP
&SYSTEM
  ibrav = 0, nat = 4, ntyp = 3
/
ATOMIC_SPECIES
Pt 195.08 Pt.upf
Mo 95.94 Mo.upf
Co 58.93 Co.upf
CELL_PARAMETERS angstrom
4.7357 -0.0043 0.0151
3.9484 2.6148 0.0151
0.7825 0.2352 4.6976
ATOMIC_POSITIONS crystal
Pt 0.9971 0.9971 0.0175
Pt 0.7551 0.7551 0.7316
Mo 0.2453 0.2453 0.2483
Co 0.5025 0.5025 0.5026
! - offset from the most stable computed form (eV/atom) = 0.052
! - ρ (Mg/m³) = 15.55
! - calculated total energy (eV per atom) = -7.646
! - E_form (kJ/mol of formula units) = -55
! - symmetry = Cm
! - size of the total moment (μB per formula unit) = 1.64
! - D(E_F) (states/eV/cell) = 4.603



calculated total energy of number 2 (Tm2BeZn12Cu3)? -2.218 eV per atom